No. 1
NaHoFeSe3 | PBE | relaxed

## Properties
Offset from the most stable computed form = 0.0651 eV per atom
Total magnetization = 0.666 μB/atom
Calculated density = 5.74 Mg/m³
Symmetry = No. 62
Final energy = -31.1 eV/f.u.

```
24
Lattice="11.147 0.000 0.000 0.000 4.135 0.000 0.000 0.000 12.062" Properties=species:S:1:pos:R:3 pbc="T T T"
Na 1.971 1.034 0.031
Na 3.603 3.101 6.062
Na 7.544 1.034 6.001
Na 9.176 3.101 12.032
Ho 0.195 1.034 3.784
Ho 5.379 3.101 9.815
Ho 5.768 1.034 2.248
Ho 10.952 3.101 8.279
Fe 2.762 1.034 8.614
Fe 2.811 3.101 2.583
Fe 8.335 1.034 9.479
Fe 8.385 3.101 3.448
Se 0.554 3.101 1.788
Se 1.156 1.034 6.806
Se 2.431 3.101 9.867
Se 3.142 1.034 3.836
Se 4.417 3.101 0.775
Se 5.020 1.034 7.819
Se 6.127 3.101 4.243
Se 6.729 1.034 11.287
Se 8.004 3.101 8.226
Se 8.716 1.034 2.195
Se 9.991 3.101 5.256
Se 10.593 1.034 10.274
```


No. 2
NaHoFeSe3 | PBE | relaxed

## Properties
Offset from the most stable computed form = 0.0027 eV per atom
Total magnetization = 0.629 μB/atom
Calculated density = 5.36 Mg/m³
Symmetry = No. 11
Final energy = -31.5 eV/f.u.

```
12
Lattice="8.112 0.000 0.000 0.000 3.945 0.000 -2.635 0.000 9.305" Properties=species:S:1:pos:R:3 pbc="T T T"
Na 1.120 0.986 2.462
Na 4.357 2.959 6.843
Ho 0.388 2.959 7.930
Ho 5.089 0.986 1.375
Fe -0.967 0.986 5.451
Fe 6.444 2.959 3.854
Se -1.633 0.986 7.775
Se 0.513 2.959 5.000
Se 3.078 2.959 1.439
Se 2.399 0.986 7.866
Se 4.964 0.986 4.304
Se 7.109 2.959 1.529
```


No. 3
NaHoFeSe3 | PBE | relaxed

## Properties
Offset from the most stable computed form = 0.1283 eV per atom
Total magnetization = 0.667 μB/atom
Calculated density = 5.59 Mg/m³
Symmetry = No. 12
Final energy = -30.8 eV/f.u.

```
12
Lattice="8.848 -2.023 0.000 8.848 2.023 0.000 -2.005 0.000 7.969" Properties=species:S:1:pos:R:3 pbc="T T T"
Na 2.238 0.000 0.569
Na 13.455 0.000 7.400
Ho 1.846 0.000 4.692
Ho 13.847 0.000 3.277
Fe 7.931 0.000 2.237
Fe 7.761 0.000 5.733
Se -1.002 0.000 3.985
Se 5.562 0.000 1.418
Se 4.619 0.000 5.205
Se 8.848 0.000 0.000
Se 11.073 0.000 2.765
Se 10.130 0.000 6.551
```


No. 4
NaHoFeTe3 | PBE | relaxed

## Properties
Offset from the most stable computed form = 0.0410 eV per atom
Total magnetization = 0.658 μB/atom
Calculated density = 6.03 Mg/m³
Symmetry = No. 62
Final energy = -28.2 eV/f.u.

```
24
Lattice="11.471 0.000 0.000 0.000 4.303 0.000 0.000 0.000 13.990" Properties=species:S:1:pos:R:3 pbc="T T T"
Na 2.589 1.076 0.139
Na 3.147 3.228 7.134
Na 8.325 1.076 6.856
Na 8.883 3.228 13.851
Ho 0.164 3.228 10.394
Ho 5.572 1.076 3.399
Ho 5.899 3.228 10.591
Ho 11.308 1.076 3.596
Fe 2.737 3.228 3.071
Fe 2.998 1.076 10.066
Fe 8.473 3.228 3.924
Fe 8.734 1.076 10.919
Te 0.599 3.228 1.573
Te 0.973 1.076 8.411
Te 2.738 1.076 4.651
Te 2.998 3.228 11.646
Te 4.762 3.228 1.416
Te 5.136 1.076 8.568
Te 6.335 3.228 5.422
Te 6.709 1.076 12.574
Te 8.473 1.076 2.344
Te 8.734 3.228 9.339
Te 10.498 3.228 5.579
Te 10.872 1.076 12.417
```


No. 5
NaHoFeTe3 | PBE | relaxed

## Properties
Offset from the most stable computed form = 0.0010 eV per atom
Total magnetization = 0.610 μB/atom
Calculated density = 5.75 Mg/m³
Symmetry = No. 11
Final energy = -28.5 eV/f.u.

```
12
Lattice="8.699 0.000 0.000 0.000 4.181 0.000 -2.864 0.000 9.957" Properties=species:S:1:pos:R:3 pbc="T T T"
Na 1.161 1.045 2.771
Na 4.674 3.136 7.186
Ho 0.396 3.136 8.466
Ho 5.439 1.045 1.490
Fe -1.090 1.045 5.763
Fe 6.926 3.136 4.194
Te -1.799 1.045 8.304
Te 0.583 3.136 5.355
Te 3.232 3.136 1.547
Te 2.603 1.045 8.410
Te 5.253 1.045 4.602
Te 7.635 3.136 1.652
```


No. 6
NaHoFeTe3 | PBE | relaxed

## Properties
Offset from the most stable computed form = 0.0335 eV per atom
Total magnetization = 0.650 μB/atom
Calculated density = 5.94 Mg/m³
Symmetry = No. 63
Final energy = -28.3 eV/f.u.

```
12
Lattice="2.109 -7.351 0.000 2.109 7.351 0.000 0.000 0.000 11.294" Properties=species:S:1:pos:R:3 pbc="T T T"
Na 2.109 3.801 8.470
Na 2.109 -3.801 2.823
Ho 0.000 0.000 0.000
Ho 0.000 0.000 5.647
Fe 2.109 0.448 2.823
Fe 2.109 -0.448 8.470
Te 2.109 6.142 2.823
Te 2.109 2.061 0.767
Te 2.109 2.061 4.879
Te 2.109 -2.061 6.414
Te 2.109 -2.061 10.526
Te 2.109 -6.142 8.470
```


No. 7
NaHoFeTe3 | PBE | relaxed

## Properties
Offset from the most stable computed form = 0.0324 eV per atom
Total magnetization = 0.656 μB/atom
Calculated density = 5.86 Mg/m³
Symmetry = No. 62
Final energy = -28.3 eV/f.u.

```
24
Lattice="11.348 0.000 0.000 0.000 4.270 0.000 0.000 0.000 14.663" Properties=species:S:1:pos:R:3 pbc="T T T"
Na 2.527 1.067 0.135
Na 3.147 3.202 7.466
Na 8.201 1.067 7.197
Na 8.822 3.202 14.528
Ho 0.196 3.202 10.927
Ho 5.478 1.067 3.595
Ho 5.870 3.202 11.068
Ho 11.152 1.067 3.736
Fe 2.679 3.202 3.254
Fe 2.995 1.067 10.585
Fe 8.353 3.202 4.078
Fe 8.669 1.067 11.409
Te 0.581 3.202 1.694
Te 0.992 1.067 8.909
Te 2.668 1.067 4.877
Te 3.006 3.202 12.209
Te 4.682 3.202 1.578
Te 5.093 1.067 9.026
Te 6.255 3.202 5.637
Te 6.666 1.067 13.085
Te 8.342 1.067 2.454
Te 8.680 3.202 9.786
Te 10.356 3.202 5.754
Te 10.767 1.067 12.968
```


No. 8
NaHoFeTe3 | PBE | relaxed

## Properties
Offset from the most stable computed form = 0.0000 eV per atom
Total magnetization = 0.611 μB/atom
Calculated density = 5.75 Mg/m³
Symmetry = No. 62
Final energy = -28.5 eV/f.u.

```
24
Lattice="14.938 0.000 0.000 0.000 4.184 0.000 0.000 0.000 11.580" Properties=species:S:1:pos:R:3 pbc="T T T"
Na 3.323 1.046 0.579
Na 4.145 3.138 6.370
Na 10.792 1.046 5.211
Na 11.614 3.138 11.001
Ho 0.168 1.046 3.954
Ho 7.301 3.138 9.744
Ho 7.637 1.046 1.836
Ho 14.769 3.138 7.626
Fe 0.112 3.138 0.857
Fe 7.357 1.046 6.648
Fe 7.581 3.138 4.933
Fe 14.826 1.046 10.723
Te 1.539 3.138 10.233
Te 1.751 1.046 6.541
Te 1.999 3.138 2.715
Te 5.470 1.046 8.505
Te 5.718 3.138 0.751
Te 5.930 1.046 4.443
Te 9.008 3.138 7.137
Te 9.220 1.046 10.829
Te 9.468 3.138 3.075
Te 12.939 1.046 8.865
Te 13.187 3.138 5.039
Te 13.399 1.046 1.347
```


No. 9
NaHoFeTe3 | PBE | relaxed

## Properties
Offset from the most stable computed form = 0.2003 eV per atom
Total magnetization = 0.474 μB/atom
Calculated density = 6.40 Mg/m³
Symmetry = No. 12
Final energy = -27.3 eV/f.u.

```
12
Lattice="8.788 -2.175 0.000 8.788 2.175 0.000 -2.292 0.000 8.499" Properties=species:S:1:pos:R:3 pbc="T T T"
Na 2.270 0.000 0.535
Na 13.013 0.000 7.964
Ho 1.697 0.000 5.027
Ho 13.586 0.000 3.472
Fe 7.939 0.000 2.803
Fe 7.344 0.000 5.696
Te -1.146 0.000 4.250
Te 5.581 0.000 1.554
Te 4.663 0.000 5.623
Te 8.788 0.000 0.000
Te 10.620 0.000 2.877
Te 9.702 0.000 6.945
```


No. 10
HoNbFe | PBE | relaxed

## Properties
Offset from the most stable computed form = 0.0000 eV per atom
Total magnetization = 0.031 μB/atom
Formation enthalpy at 0 K = 374 meV per atom
Calculated density = 8.69 Mg/m³
Symmetry = No. 216
Final energy = -21.9 eV/f.u.

```
3
Lattice="0.000 3.107 3.107 3.107 0.000 3.107 3.107 3.107 0.000" Properties=species:S:1:pos:R:3 pbc="T T T"
Ho 0.000 0.000 0.000
Nb 3.107 3.107 3.107
Fe 1.553 1.553 1.553
```


No. 11
HoNbFe | PBE | relaxed

## Properties
Offset from the most stable computed form = 1.0540 eV per atom
Total magnetization = 0.285 μB/atom
Formation enthalpy at 0 K = 1428 meV per atom
Calculated density = 8.00 Mg/m³
Symmetry = No. 216
Final energy = -18.7 eV/f.u.

```
3
Lattice="0.000 3.193 3.193 3.193 0.000 3.193 3.193 3.193 0.000" Properties=species:S:1:pos:R:3 pbc="T T T"
Ho 0.000 0.000 0.000
Nb 4.789 4.789 4.789
Fe 1.596 1.596 1.596
```


No. 12
NdHoFe | PBE | relaxed

## Properties
Offset from the most stable computed form = 0.0000 eV per atom
Total magnetization = 0.099 μB/atom
Formation enthalpy at 0 K = 245 meV per atom
Calculated density = 8.09 Mg/m³
Symmetry = No. 216
Final energy = -16.9 eV/f.u.

```
3
Lattice="0.000 3.346 3.346 3.346 0.000 3.346 3.346 3.346 0.000" Properties=species:S:1:pos:R:3 pbc="T T T"
Nd 0.000 0.000 0.000
Ho 3.346 3.346 3.346
Fe 5.018 5.018 5.018
```


Repeat the twelfth record exactly.
NdHoFe | PBE | relaxed

## Properties
Offset from the most stable computed form = 0.0000 eV per atom
Total magnetization = 0.099 μB/atom
Formation enthalpy at 0 K = 245 meV per atom
Calculated density = 8.09 Mg/m³
Symmetry = No. 216
Final energy = -16.9 eV/f.u.

```
3
Lattice="0.000 3.346 3.346 3.346 0.000 3.346 3.346 3.346 0.000" Properties=species:S:1:pos:R:3 pbc="T T T"
Nd 0.000 0.000 0.000
Ho 3.346 3.346 3.346
Fe 5.018 5.018 5.018
```